Compound: Al2Cu3Si3
Source: Alexandria
Functional: PBE
Structure: relaxed

abc: 6.7600 6.7600 2.9612
angles: 90.00 90.00 120.00
Sites, in units of the cell vectors:
Al1 0.3333 0.6667 0.0000
Al2 0.6667 0.3333 0.0000
Cu1 0.7733 0.0000 0.0000
Cu2 0.0000 0.7733 0.0000
Cu3 0.2267 0.2267 0.0000
Si1 0.3315 0.0000 0.5000
Si2 0.0000 0.3315 0.5000
Si3 0.6685 0.6685 0.5000

Values from the calculation:
space-group type = P-62m (189)
N(E_F) = 3.1 states/eV per cell
formation energy without anion corrections = 0.16 eV per atom
magnetization = 0.0 μB per formula unit
energy above the lowest structure with this stoichiometry = 88 meV per atom